1.
{
  "formula": "Rb2Ba8CaSb6O2",
  "functional": "GGA-PBE",
  "state": "relaxed",
  "lattice": [[7.412, -6.234, 0.000], [7.412, 6.234, 0.000], [-6.244, 0.000, 8.305]],
  "species": ["Rb", "Rb", "Ba", "Ba", "Ba", "Ba", "Ba", "Ba", "Ba", "Ba", "Ca", "Sb", "Sb", "Sb", "Sb", "Sb", "Sb", "O", "O"],
  "fractional_positions": [[0.237, 0.763, 0.000], [0.763, 0.237, 0.000], [0.017, 0.340, 0.756], [0.034, 0.034, 0.309], [0.210, 0.521, 0.290], [0.340, 0.017, 0.756], [0.443, 0.443, 0.707], [0.521, 0.210, 0.290], [0.684, 0.684, 0.251], [0.685, 0.685, 0.649], [0.942, 0.942, 0.648], [0.002, 0.547, 0.527], [0.126, 0.126, 0.019], [0.406, 0.406, 0.019], [0.547, 0.002, 0.527], [0.638, 0.869, 0.014], [0.869, 0.638, 0.014], [0.053, 0.053, 0.573], [0.473, 0.473, 0.491]],
  "polymorph_energy_mev_per_atom": 0,
  "formation_energy_uncorrected_mev_per_atom": -1203
}

---

2.
{
  "formula": "Rb2Ba8CaSb6O2",
  "functional": "GGA-PBE",
  "state": "relaxed",
  "lattice": [[0.000, 8.537, 6.468], [6.830, 0.000, 6.468], [6.830, 8.537, 0.000]],
  "species": ["Rb", "Rb", "Ba", "Ba", "Ba", "Ba", "Ba", "Ba", "Ba", "Ba", "Ca", "Sb", "Sb", "Sb", "Sb", "Sb", "Sb", "O", "O"],
  "fractional_positions": [[0.238, 0.762, 0.762], [0.762, 0.238, 0.238], [0.051, 0.441, 0.248], [0.227, 0.632, 0.368], [0.269, 0.997, 0.003], [0.441, 0.051, 0.260], [0.632, 0.227, 0.773], [0.740, 0.752, 0.559], [0.752, 0.740, 0.949], [0.997, 0.269, 0.731], [0.408, 0.408, 0.592], [0.007, 0.007, 0.493], [0.096, 0.411, 0.904], [0.411, 0.096, 0.589], [0.507, 0.507, 0.993], [0.639, 0.639, 0.361], [0.864, 0.864, 0.136], [0.508, 0.999, 0.001], [0.999, 0.508, 0.492]],
  "polymorph_energy_mev_per_atom": 71,
  "formation_energy_uncorrected_mev_per_atom": -1132
}

---

3.
{
  "formula": "Ba2CaRe3O12",
  "functional": "GGA-PBE",
  "state": "relaxed",
  "lattice": [[3.721, 2.148, 5.505], [-3.721, 2.148, 5.505], [0.000, -4.297, 5.505]],
  "species": ["Ba", "Ba", "Ca", "Re", "Re", "Re", "O", "O", "O", "O", "O", "O", "O", "O", "O", "O", "O", "O"],
  "fractional_positions": [[0.113, 0.113, 0.113], [0.887, 0.887, 0.887], [0.500, 0.500, 0.500], [0.000, 0.500, 0.500], [0.500, 0.000, 0.500], [0.500, 0.500, 0.000], [0.074, 0.630, 0.630], [0.219, 0.219, 0.603], [0.219, 0.603, 0.219], [0.370, 0.370, 0.926], [0.370, 0.926, 0.370], [0.397, 0.781, 0.781], [0.603, 0.219, 0.219], [0.630, 0.074, 0.630], [0.630, 0.630, 0.074], [0.781, 0.397, 0.781], [0.781, 0.781, 0.397], [0.926, 0.370, 0.370]],
  "formation_energy_uncorrected_mev_per_atom": -2060
}

---

4.
{
  "formula": "BaCaReO6",
  "functional": "GGA-PBE",
  "state": "relaxed",
  "lattice": [[5.551, 0.000, 0.000], [0.225, 5.596, 0.000], [0.100, 2.797, 5.079]],
  "species": ["Ba", "Ca", "Re", "O", "O", "O", "O", "O", "O"],
  "fractional_positions": [[0.000, 0.000, 0.000], [0.500, 0.330, 0.342], [0.497, 0.648, 0.705], [0.286, 0.414, 0.946], [0.316, 0.957, 0.665], [0.326, 0.695, 0.384], [0.678, 0.923, 0.387], [0.679, 0.378, 0.670], [0.709, 0.646, 0.944]],
  "formation_energy_uncorrected_mev_per_atom": -2095
}